# 1
Here is a relaxed structure of Ge2N2O from Alexandria via LeMat-Bulk. Energies are from PBE.

Values from the calculation:
- DFT total energy: -6.7098 eV/atom

extended XYZ file:
```
10
Lattice="4.7184 -2.9158 0.0000 4.7184 2.9158 0.0000 0.0000 0.0000 5.1741" Properties=species:S:1:pos:R:3 pbc="T T T"
Ge 1.6517 0.9005 0.0000
Ge 1.6517 -0.9005 2.5870
Ge 7.7851 0.9005 0.0000
Ge 7.7851 -0.9005 2.5870
N 1.9734 0.7444 1.8046
N 1.9734 -0.7444 4.3916
N 7.4634 0.7444 1.8046
N 7.4634 -0.7444 4.3916
O 4.7184 1.5100 2.1628
O 4.7184 -1.5100 4.7498
```



# 2
Here is a relaxed structure of Ac5Nd2Rh5 from Alexandria via LeMat-Bulk. Energies are from PBE.

Values from the calculation:
- Energy of formation from the pure elements: -0.614 eV/atom

extended XYZ file:
```
12
Lattice="6.9999 -2.0962 0.0000 6.9999 2.0962 0.0000 -3.5090 0.0000 12.1636" Properties=species:S:1:pos:R:3 pbc="T T T"
Ac 0.0000 0.0000 0.0000
Ac 0.2368 0.0000 6.6827
Ac 0.3537 0.0000 10.4211
Ac 10.1371 0.0000 1.7425
Ac 10.2540 0.0000 5.4809
Nd 3.9407 0.0000 8.6868
Nd 6.5501 0.0000 3.4768
Rh 1.5551 0.0000 3.7365
Rh 5.1288 0.0000 0.9480
Rh 5.2454 0.0000 6.0818
Rh 5.3620 0.0000 11.2156
Rh 8.9356 0.0000 8.4271
```



no.,total magnetic moment (μB/atom)
1,0.000
2,0.000